Entry 1:
CeHfNi4: relaxed, GGA-PBE.

```
CeHfNi4
1.0
0.000 3.536 3.536
3.536 0.000 3.536
3.536 3.536 0.000
Ce Hf Ni
1 1 4
direct
0.000 0.000 0.000
0.750 0.750 0.750
0.376 0.376 0.376
0.376 0.376 0.872
0.376 0.872 0.376
0.872 0.376 0.376
```

Density of states at the Fermi level: 7.63 states/eV/f.u.
Volume: 14.74 Å³/atom
Formation enthalpy at 0 K: -0.352 eV per atom



Entry 2:
Ce2FePC: relaxed, GGA-PBE.

```
Ce2FePC
1.0
6.433 0.000 0.000
0.000 3.818 0.000
-2.863 0.000 7.341
Ce Fe P C
4 2 2 2
direct
0.189 0.250 0.419
0.246 0.750 0.019
0.754 0.250 0.981
0.811 0.750 0.581
0.234 0.250 0.716
0.766 0.750 0.284
0.438 0.750 0.727
0.562 0.250 0.273
0.001 0.750 0.191
0.999 0.250 0.809
```

Density of states at the Fermi level: 3.02 states/eV/f.u.
Volume: 18.03 Å³/atom
Formation enthalpy at 0 K: -0.695 eV per atom



Entry 3:
TiCr3Re3: relaxed, GGA-PBE.

```
TiCr3Re3
1.0
3.617 2.088 4.309
-3.617 2.088 4.309
0.000 -4.176 4.309
Ti Cr Re
2 6 6
direct
0.234 0.234 0.234
0.766 0.766 0.766
0.034 0.886 0.318
0.114 0.682 0.966
0.318 0.034 0.886
0.682 0.966 0.114
0.886 0.318 0.034
0.966 0.114 0.682
0.178 0.437 0.629
0.371 0.822 0.563
0.437 0.629 0.178
0.563 0.371 0.822
0.629 0.178 0.437
0.822 0.563 0.371
```

Density of states at the Fermi level: 8.14 states/eV/f.u.
Volume: 13.95 Å³/atom
Formation enthalpy at 0 K: 0.175 eV per atom



Entry 4:
Pa3Zn8Cu3: relaxed, GGA-PBE.

```
Pa3Zn8Cu3
1.0
-2.213 4.369 6.228
2.213 -4.369 6.228
2.213 4.369 -6.228
Pa Zn Cu
3 8 3
direct
0.000 0.000 0.000
0.288 0.288 0.000
0.712 0.712 0.000
0.006 0.650 0.356
0.154 0.864 0.290
0.294 0.650 0.644
0.427 0.136 0.290
0.573 0.864 0.710
0.706 0.350 0.356
0.846 0.136 0.710
0.994 0.350 0.644
0.338 0.500 0.838
0.500 0.000 0.500
0.662 0.500 0.162
```

Density of states at the Fermi level: 13.53 states/eV/f.u.
Volume: 17.20 Å³/atom
Formation enthalpy at 0 K: -0.075 eV per atom



Entry 5:
LuCuPt4: relaxed, GGA-PBE.

```
LuCuPt4
1.0
0.000 3.745 3.745
3.745 0.000 3.745
3.745 3.745 0.000
Lu Cu Pt
1 1 4
direct
0.000 0.000 0.000
0.750 0.750 0.750
0.375 0.375 0.375
0.375 0.375 0.874
0.375 0.874 0.375
0.874 0.375 0.375
```

Density of states at the Fermi level: 7.85 states/eV/f.u.
Volume: 17.50 Å³/atom
Formation enthalpy at 0 K: -0.606 eV per atom



Entry 6:
Be3TcB2: relaxed, GGA-PBE.

```
Be3TcB2
1.0
5.894 -1.554 0.000
5.894 1.554 0.000
-1.838 0.000 5.350
Be Tc B
6 2 4
direct
0.073 0.073 0.210
0.307 0.307 0.612
0.394 0.394 0.018
0.606 0.606 0.982
0.693 0.693 0.388
0.927 0.927 0.790
0.118 0.118 0.664
0.882 0.882 0.336
0.229 0.229 0.105
0.474 0.474 0.643
0.526 0.526 0.357
0.771 0.771 0.895
```

Density of states at the Fermi level: 0.95 states/eV/f.u.
Volume: 8.17 Å³/atom
Formation enthalpy at 0 K: -0.063 eV per atom



Entry 7:
In3ReTc: relaxed, GGA-PBE.

```
In3ReTc
1.0
5.153 0.000 0.000
0.000 5.153 0.000
0.000 0.000 5.153
In Re Tc
3 1 1
direct
0.000 0.000 0.500
0.000 0.500 0.000
0.500 0.000 0.000
0.500 0.500 0.500
0.000 0.000 0.000
```

Density of states at the Fermi level: 4.94 states/eV/f.u.
Volume: 27.36 Å³/atom
Formation enthalpy at 0 K: 1.445 eV per atom



Entry 8:
Fe2MoPdAu: relaxed, GGA-PBE.

```
Fe2MoPdAu
1.0
4.416 0.000 0.000
0.000 4.416 0.000
0.000 0.000 4.839
Fe Mo Pd Au
2 1 1 1
direct
0.000 0.500 0.000
0.500 0.000 0.000
0.000 0.000 0.000
0.000 0.000 0.500
0.500 0.500 0.500
```

Density of states at the Fermi level: 5.61 states/eV/f.u.
Volume: 18.88 Å³/atom
Formation enthalpy at 0 K: 1.314 eV per atom



Entry 9:
K2LiMn: relaxed, GGA-PBE.

```
K2LiMn
1.0
3.856 0.000 0.000
0.000 3.856 0.000
0.000 0.000 10.325
K Li Mn
2 1 1
direct
0.000 0.000 0.000
0.500 0.500 0.393
0.000 0.000 0.655
0.500 0.500 0.742
```

Density of states at the Fermi level: 3.41 states/eV/f.u.
Volume: 38.38 Å³/atom
Formation enthalpy at 0 K: 0.535 eV per atom



Entry 10:
DyPa2H8: relaxed, GGA-PBE.

```
DyPa2H8
1.0
-1.766 2.772 5.485
1.766 -2.772 5.485
1.766 2.772 -5.485
Dy Pa H
1 2 8
direct
0.000 0.000 0.000
0.325 0.325 0.000
0.675 0.675 0.000
0.088 0.841 0.247
0.176 0.676 0.500
0.262 0.500 0.762
0.406 0.159 0.247
0.594 0.841 0.753
0.738 0.500 0.238
0.824 0.324 0.500
0.912 0.159 0.753
```

Final energy: -4.96 eV/atom
Density of states at the Fermi level: 9.29 states/eV/f.u.
Volume: 9.76 Å³/atom



Entry 11:
TbPm6Y2Er3: relaxed, GGA-PBE.

```
TbPm6Y2Er3
1.0
3.121 -5.404 0.000
3.121 5.404 0.000
-2.072 0.000 11.634
Tb Pm Y Er
1 6 2 3
direct
0.000 0.000 0.000
0.084 0.417 0.252
0.249 0.249 0.748
0.417 0.084 0.252
0.583 0.916 0.748
0.751 0.751 0.252
0.916 0.583 0.748
0.333 0.667 0.000
0.667 0.333 0.000
0.167 0.833 0.500
0.500 0.500 0.500
0.833 0.167 0.500
```

Density of states at the Fermi level: 13.88 states/eV/f.u.
Volume: 32.70 Å³/atom
Formation enthalpy at 0 K: 0.013 eV per atom



Entry 12:
Li2TeOsC: relaxed, GGA-PBE.

```
Li2TeOsC
1.0
4.264 0.000 0.000
0.000 4.264 0.000
0.000 0.000 3.937
Li Te Os C
2 1 1 1
direct
0.000 0.500 0.000
0.500 0.000 0.000
0.000 0.000 0.500
0.500 0.500 0.500
0.500 0.500 0.000
```

Formation energy from raw total energies: 0.275 eV/f.u.
Density of states at the Fermi level: 3.08 states/eV/f.u.
Volume: 14.32 Å³/atom



Entry 13:
La2AlAu3: relaxed, GGA-PBE.

```
La2AlAu3
1.0
0.000 4.705 8.208
3.761 0.000 8.208
3.761 4.705 0.000
La Al Au
4 2 6
direct
0.239 0.761 0.761
0.250 0.250 0.250
0.750 0.750 0.750
0.761 0.239 0.239
0.334 0.334 0.666
0.666 0.666 0.334
0.175 0.175 0.825
0.178 0.649 0.351
0.351 0.822 0.178
0.649 0.178 0.822
0.822 0.351 0.649
0.825 0.825 0.175
```

Density of states at the Fermi level: 4.43 states/eV/f.u.
Volume: 24.21 Å³/atom
Formation enthalpy at 0 K: -0.785 eV per atom



Entry 14:
Bi2AsSeBr: relaxed, GGA-PBE.

```
Bi2AsSeBr
1.0
5.629 0.000 0.000
0.000 5.629 0.000
0.000 0.000 5.065
Bi As Se Br
2 1 1 1
direct
0.000 0.500 0.000
0.500 0.000 0.000
0.000 0.000 0.000
0.500 0.500 0.500
0.000 0.000 0.500
```

Formation energy from raw total energies: 2.132 eV/f.u.
Density of states at the Fermi level: 3.13 states/eV/f.u.
Volume: 32.09 Å³/atom



Entry 15:
LiFe2Br: relaxed, GGA-PBE.

```
LiFe2Br
1.0
-1.747 1.747 5.718
1.747 -1.747 5.718
1.747 1.747 -5.718
Li Fe Br
1 2 1
direct
0.000 0.000 0.000
0.250 0.750 0.500
0.750 0.250 0.500
0.500 0.500 0.000
```

Formation energy from raw total energies: 0.962 eV/f.u.
Density of states at the Fermi level: 3.89 states/eV/f.u.
Volume: 17.45 Å³/atom



Entry 16:
Be2Cu4Au: relaxed, GGA-PBE.

```
Be2Cu4Au
1.0
2.002 -7.782 0.000
2.002 7.782 0.000
0.000 0.000 2.655
Be Cu Au
2 4 1
direct
0.074 0.926 0.000
0.926 0.074 0.000
0.199 0.801 0.500
0.344 0.656 0.000
0.656 0.344 0.000
0.801 0.199 0.500
0.500 0.500 0.500
```

Density of states at the Fermi level: 1.54 states/eV/f.u.
Volume: 11.82 Å³/atom
Formation enthalpy at 0 K: 0.001 eV per atom



Entry 17:
AuSN3: relaxed, GGA-PBE.

```
AuSN3
1.0
4.087 0.000 0.000
0.000 4.087 0.000
0.000 0.000 4.087
Au S N
1 1 3
direct
0.000 0.000 0.000
0.500 0.500 0.500
0.000 0.000 0.500
0.000 0.500 0.000
0.500 0.000 0.000
```

Formation energy from raw total energies: 13.936 eV/f.u.
Density of states at the Fermi level: 4.28 states/eV/f.u.
Volume: 13.65 Å³/atom



Entry 18:
TiNbCu: relaxed, GGA-PBE.

```
TiNbCu
1.0
4.387 0.000 0.000
0.000 3.271 0.000
-1.806 0.000 6.634
Ti Nb Cu
2 2 2
direct
0.158 0.000 0.338
0.842 0.000 0.662
0.000 0.500 0.000
0.500 0.000 0.000
0.355 0.500 0.658
0.645 0.500 0.342
```

Density of states at the Fermi level: 3.75 states/eV/f.u.
Volume: 15.86 Å³/atom
Formation enthalpy at 0 K: 0.014 eV per atom



Entry 19:
LaTmPuTh: relaxed, GGA-PBE.

```
LaTmPuTh
1.0
0.000 3.973 3.973
3.973 0.000 3.973
3.973 3.973 0.000
La Tm Pu Th
1 1 1 1
direct
0.000 0.000 0.000
0.250 0.250 0.250
0.750 0.750 0.750
0.500 0.500 0.500
```

Density of states at the Fermi level: 14.19 states/eV/f.u.
Volume: 31.37 Å³/atom
Formation enthalpy at 0 K: 0.197 eV per atom



Entry 20:
Ag4PdAu7: relaxed, GGA-PBE.

```
Ag4PdAu7
1.0
5.410 -2.537 0.000
5.410 2.537 0.000
-5.039 0.000 8.659
Ag Pd Au
4 1 7
direct
0.086 0.086 0.273
0.242 0.242 0.825
0.758 0.758 0.175
0.914 0.914 0.727
0.500 0.500 0.500
0.000 0.000 0.500
0.139 0.139 0.030
0.292 0.292 0.582
0.430 0.430 0.174
0.570 0.570 0.826
0.708 0.708 0.418
0.861 0.861 0.970
```

Density of states at the Fermi level: 3.44 states/eV/f.u.
Volume: 19.81 Å³/atom
Formation enthalpy at 0 K: 0.143 eV per atom



Entry 21:
Cd2HF: relaxed, GGA-PBE.

```
Cd2HF
1.0
0.000 3.117 3.117
3.117 0.000 3.117
3.117 3.117 0.000
Cd H F
2 1 1
direct
0.250 0.250 0.250
0.750 0.750 0.750
0.000 0.000 0.000
0.500 0.500 0.500
```

Final energy: -2.01 eV/atom
Density of states at the Fermi level: 1.32 states/eV/f.u.
Volume: 15.14 Å³/atom



Entry 22:
SrZrHg2: relaxed, GGA-PBE.

```
SrZrHg2
1.0
1.827 1.055 9.875
-1.827 1.055 9.875
0.000 -2.110 9.875
Sr Zr Hg
1 1 2
direct
0.000 0.000 0.000
0.765 0.765 0.765
0.247 0.247 0.247
0.504 0.504 0.504
```

Density of states at the Fermi level: 4.10 states/eV/f.u.
Volume: 28.56 Å³/atom
Formation enthalpy at 0 K: 0.124 eV per atom



Entry 23:
TmLuGaIr: relaxed, GGA-PBE.

```
TmLuGaIr
1.0
0.000 3.443 3.443
3.443 0.000 3.443
3.443 3.443 0.000
Tm Lu Ga Ir
1 1 1 1
direct
0.000 0.000 0.000
0.500 0.500 0.500
0.250 0.250 0.250
0.750 0.750 0.750
```

Density of states at the Fermi level: 1.93 states/eV/f.u.
Volume: 20.41 Å³/atom
Formation enthalpy at 0 K: -0.748 eV per atom



Entry 24:
TbLu2Sb: relaxed, GGA-PBE.

```
TbLu2Sb
1.0
0.000 3.761 3.761
3.761 0.000 3.761
3.761 3.761 0.000
Tb Lu Sb
1 2 1
direct
0.000 0.000 0.000
0.250 0.250 0.250
0.750 0.750 0.750
0.500 0.500 0.500
```

Formation energy from raw total energies: -0.724 eV/f.u.
Density of states at the Fermi level: 5.91 states/eV/f.u.
Volume: 26.60 Å³/atom



Entry 25:
PrTh2Rh: relaxed, GGA-PBE.

```
PrTh2Rh
1.0
1.920 -6.049 0.000
1.920 6.049 0.000
0.000 0.000 9.997
Pr Th Rh
2 4 2
direct
0.082 0.918 0.750
0.918 0.082 0.250
0.361 0.639 0.559
0.361 0.639 0.941
0.639 0.361 0.059
0.639 0.361 0.441
0.204 0.796 0.250
0.796 0.204 0.750
```

Density of states at the Fermi level: 4.90 states/eV/f.u.
Volume: 29.02 Å³/atom
Formation enthalpy at 0 K: -0.448 eV per atom